The following is a DFT calculation (PBE-GGA) of a geometry-optimized LiInP2 structure.

Properties
energy relative to the elements: 0.0983 eV/atom
space-group type: I4/mmm, No. 139

```
4
Lattice="-2.0999 2.0999 4.0347 2.0999 -2.0999 4.0347 2.0999 2.0999 -4.0347" Properties=species:S:1:pos:R:3 pbc="T T T"
Li 0.0000 0.0000 0.0000
In 0.0000 0.0000 4.0347
P 2.0999 0.0000 2.0173
P 0.0000 2.0999 2.0173
```


The following is a DFT calculation (PBE-GGA) of a geometry-optimized La3Pm2Nd4 structure.

Properties
distance to the lowest polymorph of the same formula: 0 meV per atom
energy relative to the elements: 0.0165 eV/atom
space-group type: C2/m, No. 12

```
9
Lattice="8.0726 -1.8490 0.0000 8.0726 1.8490 0.0000 -2.5868 0.0000 10.7698" Properties=species:S:1:pos:R:3 pbc="T T T"
La 0.0000 0.0000 0.0000
La 4.2247 0.0000 4.7896
La 9.3337 0.0000 5.9802
Pm 3.3658 0.0000 8.3806
Pm 10.1926 0.0000 2.3892
Nd 15.2816 0.0000 3.5750
Nd -1.7232 0.0000 7.1949
Nd 5.0908 0.0000 1.1906
Nd 8.4676 0.0000 9.5793
```


The following is a DFT calculation (PBE-GGA) of a geometry-optimized BaScAl structure.

Properties
distance to the lowest polymorph of the same formula: 279 meV per atom
energy relative to the elements: 0.1347 eV/atom
space-group type: P-6m2, No. 187

```
3
Lattice="5.2533 0.0000 0.0000 -2.6267 4.5495 0.0000 0.0000 0.0000 3.9712" Properties=species:S:1:pos:R:3 pbc="T T T"
Ba 0.0000 0.0000 0.0000
Sc 2.6267 1.5165 1.9856
Al 0.0000 3.0330 1.9856
```


The following is a DFT calculation (PBE-GGA) of a geometry-optimized Li2TbNi structure.

Properties
energy relative to the elements: 0.3986 eV/atom
space-group type: R-3m, No. 166

```
4
Lattice="1.4999 0.8660 10.0716 -1.4999 0.8660 10.0716 0.0000 -1.7319 10.0716" Properties=species:S:1:pos:R:3 pbc="T T T"
Li 0.0000 0.0000 3.1221
Li 0.0000 0.0000 27.0928
Tb 0.0000 0.0000 0.0000
Ni 0.0000 0.0000 15.1074
```


The following is a DFT calculation (PBE-GGA) of a geometry-optimized SiNiHg structure.

Properties
distance to the lowest polymorph of the same formula: 6 meV per atom
formation energy (no corrections): 0.125 eV per atom
space-group type: P3m1, No. 156

```
3
Lattice="3.0543 0.0000 0.0000 -1.5271 2.6451 0.0000 0.0000 0.0000 6.1185" Properties=species:S:1:pos:R:3 pbc="T T T"
Si 0.0000 0.0000 0.0000
Ni 0.0000 1.7634 4.6704
Hg 1.5271 0.8817 2.4872
```


The following is a DFT calculation (PBE-GGA) of a geometry-optimized Li2Pm3Hg3 structure.

Properties
distance to the lowest polymorph of the same formula: 0 meV per atom
energy relative to the elements: -0.3503 eV/atom
space-group type: Cmcm, No. 63

```
16
Lattice="2.4358 -5.0595 0.0000 2.4358 5.0595 0.0000 0.0000 0.0000 16.1588" Properties=species:S:1:pos:R:3 pbc="T T T"
Li 2.4358 2.7013 9.5189
Li 2.4358 2.7013 14.7193
Li 2.4358 -2.7013 1.4395
Li 2.4358 -2.7013 6.6399
Pm 2.4358 4.3186 1.8060
Pm 2.4358 4.3186 6.2734
Pm 2.4358 1.2803 4.0397
Pm 2.4358 -1.2803 12.1191
Pm 2.4358 -4.3186 9.8854
Pm 2.4358 -4.3186 14.3528
Hg 2.4358 1.7788 12.1191
Hg 2.4358 1.2256 0.8517
Hg 2.4358 1.2256 7.2277
Hg 2.4358 -1.2256 8.9312
Hg 2.4358 -1.2256 15.3071
Hg 2.4358 -1.7788 4.0397
```


The following is a DFT calculation (PBE-GGA) of a geometry-optimized NaCdInPd structure.

Properties
energy relative to the elements: -0.2603 eV/atom
space-group type: P4mm, No. 99

```
4
Lattice="3.4240 0.0000 0.0000 0.0000 3.4240 0.0000 0.0000 0.0000 7.3728" Properties=species:S:1:pos:R:3 pbc="T T T"
Na 0.0000 0.0000 0.0000
Cd 1.7120 1.7120 2.1229
In 1.7120 1.7120 5.1974
Pd 0.0000 0.0000 3.6798
```


Short version: uncorrected energy = -3.770; -4.801; -3.864; -3.161; -3.710; -2.723; -2.802 eV/atom, in the order given.